# 1
! InAsW2I | Alexandria | PBE | relaxed; values from VASP
&SYSTEM
  ibrav = 0, nat = 5, ntyp = 4
/
ATOMIC_SPECIES
I 126.90 I.upf
W 183.84 W.upf
As 74.92 As.upf
In 114.82 In.upf
CELL_PARAMETERS angstrom
-3.459 -3.063 2.592
4.130 -3.422 1.467
0.787 2.838 4.404
ATOMIC_POSITIONS angstrom
I 2.065 -1.711 0.734
W 0.393 1.419 2.202
W -1.729 -1.532 1.296
As 0.729 -1.824 4.232
In 0.000 0.000 0.000
! Energy   -21.50 eV for the cell shown
! Crystal system   tetragonal
! DOS(E_F)   6.02 states/eV/cell
! Uncorrected formation energy   2.668 eV/atom

***

# 2
! Ca5MgZn | Alexandria | PBE | relaxed; values from VASP
&SYSTEM
  ibrav = 0, nat = 14, ntyp = 3
/
ATOMIC_SPECIES
Mg 24.30 Mg.upf
Ca 40.08 Ca.upf
Zn 65.41 Zn.upf
CELL_PARAMETERS angstrom
-3.354 -1.762 -5.911
3.300 -4.444 -4.319
-4.916 -10.778 2.393
ATOMIC_POSITIONS angstrom
Mg -4.092 -11.034 -3.411
Mg -0.878 -5.950 -4.426
Ca -1.862 -5.881 -7.871
Ca -1.670 -8.558 -2.280
Ca -0.717 -12.394 -2.603
Ca -1.235 -2.354 -3.960
Ca -3.735 -14.630 -3.877
Ca -4.254 -4.589 -5.234
Ca -3.108 -11.103 0.034
Ca -2.066 -12.178 -6.135
Ca -2.904 -4.805 -1.702
Ca -3.300 -8.426 -5.557
Zn -2.458 -5.389 1.196
Zn 0.000 0.000 0.000
! Energy   -25.49 eV for the cell shown
! Calculated formation energy   0.02 eV per atom
! Relative energy among the computed polymorphs   49 meV/atom
! Crystal system   monoclinic
! DOS(E_F)   13.93 states/eV/cell

***

# 3
! DyY2In | Alexandria | PBE | relaxed; values from VASP
&SYSTEM
  ibrav = 0, nat = 8, ntyp = 3
/
ATOMIC_SPECIES
In 114.82 In.upf
Y 88.91 Y.upf
Dy 162.50 Dy.upf
CELL_PARAMETERS angstrom
5.256 0.000 0.000
0.000 6.354 -1.906
0.000 0.177 7.003
ATOMIC_POSITIONS angstrom
In 1.314 2.378 0.803
In 3.942 4.153 4.295
Y 3.942 1.190 2.582
Y 1.314 5.513 -1.005
Y 3.942 1.018 6.102
Y 1.314 5.341 2.515
Dy 1.314 2.493 4.410
Dy 3.942 4.038 0.688
! Energy   -42.68 eV for the cell shown
! Calculated formation energy   -0.27 eV per atom
! Relative energy among the computed polymorphs   5 meV/atom
! Crystal system   monoclinic
! DOS(E_F)   8.98 states/eV/cell

***

# 4
! NpAg2Cl8 | Alexandria | PBE | relaxed; values from VASP
&SYSTEM
  ibrav = 0, nat = 11, ntyp = 3
/
ATOMIC_SPECIES
Cl 35.45 Cl.upf
Ag 107.87 Ag.upf
Np 237.00 Np.upf
CELL_PARAMETERS angstrom
0.537 5.617 4.021
-6.414 2.653 -3.684
-7.283 -1.651 2.444
ATOMIC_POSITIONS angstrom
Cl -1.359 1.768 1.049
Cl -5.610 0.094 1.650
Cl -5.164 2.303 -1.495
Cl -8.604 2.926 0.834
Cl -7.550 6.524 1.131
Cl -11.801 4.851 1.732
Cl -7.996 4.315 4.276
Cl -4.556 3.693 1.947
Ag -10.733 2.308 0.098
Ag -2.427 4.311 2.683
Np 0.000 0.000 0.000
! Energy   -43.11 eV for the cell shown
! Relative energy among the computed polymorphs   99 meV/atom
! Crystal system   monoclinic
! DOS(E_F)   8.18 states/eV/cell
! Uncorrected formation energy   -0.881 eV/atom

***

# 5
! HfGeTe2N | Alexandria | PBE | relaxed; values from VASP
&SYSTEM
  ibrav = 0, nat = 5, ntyp = 4
/
ATOMIC_SPECIES
Hf 178.49 Hf.upf
N 14.01 N.upf
Ge 72.64 Ge.upf
Te 127.60 Te.upf
CELL_PARAMETERS angstrom
-3.193 1.859 4.373
-1.011 -5.414 1.563
3.231 0.069 2.329
ATOMIC_POSITIONS angstrom
Hf 0.000 0.000 0.000
N 1.615 0.035 1.165
Ge -0.487 -1.743 4.133
Te -0.506 -2.707 0.782
Te -1.596 0.930 2.187
! Energy   -28.76 eV for the cell shown
! Relative energy among the computed polymorphs   0 meV/atom
! Crystal system   tetragonal
! DOS(E_F)   4.76 states/eV/cell
! Uncorrected formation energy   0.084 eV/atom

***

# 6
! Sr3P4Pd2 | Alexandria | PBE | relaxed; values from VASP
&SYSTEM
  ibrav = 0, nat = 9, ntyp = 3
/
ATOMIC_SPECIES
Sr 87.62 Sr.upf
P 30.97 P.upf
Pd 106.42 Pd.upf
CELL_PARAMETERS angstrom
-3.825 1.712 0.284
0.912 -3.870 4.548
3.257 6.648 3.797
ATOMIC_POSITIONS angstrom
Sr 0.412 0.191 4.402
Sr -0.069 4.299 4.227
Sr 0.000 0.000 0.000
P 2.526 4.618 6.192
P 1.171 2.288 1.983
P -2.183 -0.128 2.437
P -0.827 2.203 6.646
Pd 1.574 2.458 6.386
Pd -1.231 2.032 2.242
! Energy   -45.72 eV for the cell shown
! Calculated formation energy   -0.96 eV per atom
! Crystal system   monoclinic
! DOS(E_F)   3.80 states/eV/cell

***

# 7
! Li2Pm2ThIn2 | Alexandria | PBE | relaxed; values from VASP
&SYSTEM
  ibrav = 0, nat = 7, ntyp = 4
/
ATOMIC_SPECIES
Li 6.94 Li.upf
Th 232.04 Th.upf
Pm 145.00 Pm.upf
In 114.82 In.upf
CELL_PARAMETERS angstrom
-3.097 -1.180 3.663
-1.448 -4.684 0.597
5.411 -3.410 6.807
ATOMIC_POSITIONS angstrom
Li 2.556 -5.083 7.185
Li -1.690 -4.191 3.882
Th 0.000 0.000 0.000
Pm 2.748 -2.850 4.736
Pm -1.882 -6.423 6.331
In -0.089 -2.254 2.529
In 0.954 -7.019 8.537
! Energy   -27.49 eV for the cell shown
! Calculated formation energy   -0.18 eV per atom
! Crystal system   trigonal
! DOS(E_F)   6.44 states/eV/cell

***

# 8
! Sr2LaAg2 | Alexandria | PBE | relaxed; values from VASP
&SYSTEM
  ibrav = 0, nat = 5, ntyp = 3
/
ATOMIC_SPECIES
La 138.91 La.upf
Sr 87.62 Sr.upf
Ag 107.87 Ag.upf
CELL_PARAMETERS angstrom
4.949 0.000 0.000
0.000 4.949 0.000
2.475 2.475 7.000
ATOMIC_POSITIONS angstrom
La 0.000 0.000 0.000
Sr 4.949 2.475 3.500
Sr 2.475 4.949 3.500
Ag 4.949 4.949 5.644
Ag 2.475 2.475 1.356
! Energy   -13.84 eV for the cell shown
! Calculated formation energy   0.03 eV per atom
! Relative energy among the computed polymorphs   217 meV/atom
! Crystal system   tetragonal
! DOS(E_F)   5.83 states/eV/cell